SbOs2W | PBE | relaxed

volume	64.8	Å³/f.u.
space-group type	No. 65
energy	-0.6865	Ry per atom
D(E_F)	3.5	states/eV/f.u.
crystal system	orthorhombic
formation energy (no corrections)	543	meV per atom
total moment	0.00	Bohr magnetons per cell

a b c (Å): 4.747 4.747 2.961
angles (deg): 90.00 90.00 103.62
Fractional positions:
Os1 0.000 0.000 0.000
Os2 0.500 0.500 0.000
Sb1 0.500 0.000 0.500
W1 0.000 0.500 0.500